Record 1
A geometry-optimized ScCd2Ge structure, computed with PBE-GGA.

Properties
Its uncorrected energy is -3.5142 eV/atom. For the formation energy, the calculation gives -123 kJ/mol of formula units. The density of states at the Fermi level comes out at 0.38 states/eV per atom. Its space group is P4/mmm (123).

Cell lengths 4.730, 4.147, 4.147 Å; angles 90.00, 90.00, 90.00 degrees
Sites, in units of the cell vectors:
1 Sc 0.500 0.000 0.000
2 Ge 0.500 0.500 0.500
3 Cd 0.000 0.000 0.500
4 Cd 0.000 0.500 0.000


Record 2
A geometry-optimized BeAg2Ir structure, computed with PBE-GGA.

Properties
Its uncorrected energy is -4.3625 eV/atom. For the formation energy, the calculation gives 81 kJ/mol of formula units. The density of states at the Fermi level comes out at 0.46 states/eV per atom. Its space group is Immm (71).

Cell lengths 5.384, 5.384, 5.384 Å; angles 149.25, 133.15, 57.09 degrees
Sites, in units of the cell vectors:
1 Ag 0.541 0.541 0.000
2 Ag 0.959 0.959 0.000
3 Be 0.750 0.250 0.500
4 Ir 0.250 0.750 0.500


Record 3
A geometry-optimized Y4ErIn2 structure, computed with PBE-GGA.

Properties
Its uncorrected energy is -5.2552 eV/atom. As for the energy above the lowest structure with this stoichiometry: 0.0 meV per atom. For the formation energy, the calculation gives -86 kJ/mol of formula units. The density of states at the Fermi level comes out at 0.92 states/eV per atom. Its space group is P4_2/mnm (136).

Cell lengths 5.327, 9.077, 9.077 Å; angles 90.00, 90.00, 90.00 degrees
Sites, in units of the cell vectors:
1 Y 0.000 0.926 0.671
2 Y 0.500 0.574 0.171
3 Y 0.000 0.671 0.926
4 Y 0.500 0.829 0.426
5 Y 0.500 0.426 0.829
6 Y 0.000 0.329 0.074
7 Y 0.500 0.171 0.574
8 Y 0.000 0.074 0.329
9 In 0.000 0.258 0.742
10 In 0.000 0.742 0.258
11 In 0.500 0.758 0.758
12 In 0.500 0.242 0.242
13 Er 0.000 0.500 0.500
14 Er 0.500 0.000 0.000


Record 4
A geometry-optimized Ac3Ni2Rh7 structure, computed with PBE-GGA.

Properties
Its uncorrected energy is -6.7259 eV/atom. For the formation energy, the calculation gives -517 kJ/mol of formula units. The density of states at the Fermi level comes out at 1.19 states/eV per atom. Its space group is R-3m (166).

Cell lengths 5.441, 5.441, 9.303 Å; angles 73.00, 73.00, 60.00 degrees
Sites, in units of the cell vectors:
1 Rh 0.500 0.500 0.500
2 Rh 0.578 0.578 0.767
3 Rh 0.422 0.923 0.233
4 Rh 0.578 0.077 0.767
5 Rh 0.422 0.422 0.233
6 Rh 0.077 0.578 0.767
7 Rh 0.923 0.422 0.233
8 Ac 0.861 0.861 0.416
9 Ac 0.139 0.139 0.584
10 Ac 0.000 0.000 0.000
11 Ni 0.333 0.333 0.001
12 Ni 0.667 0.667 0.999


Record 5
A geometry-optimized Tb4SbTeAs2 structure, computed with PBE-GGA.

Properties
Its uncorrected energy is -5.8213 eV/atom. As for the formation energy from raw total energies: -33.1 kcal/mol of atoms. The density of states at the Fermi level comes out at 0.18 states/eV per atom. Its space group is P2/m (10).

Cell lengths 4.242, 7.437, 7.350 Å; angles 70.88, 90.00, 90.00 degrees
Sites, in units of the cell vectors:
1 Tb 0.000 0.226 0.262
2 Tb 0.500 0.230 0.753
3 Tb 0.500 0.770 0.247
4 Tb 0.000 0.774 0.738
5 As 0.500 0.000 0.500
6 As 0.000 0.000 0.000
7 Te 0.500 0.500 0.000
8 Sb 0.000 0.500 0.500


Record 6
A geometry-optimized CaBOs2Pd structure, computed with PBE-GGA.

Properties
Its uncorrected energy is -4.1889 eV/atom. As for the energy above the lowest structure with this stoichiometry: 2964.6 meV per atom. For the formation energy, the calculation gives 1485 kJ/mol of formula units. The density of states at the Fermi level comes out at 1.16 states/eV per atom. Its space group is P4/mmm (123).

Cell lengths 4.714, 4.237, 4.714 Å; angles 90.00, 90.00, 90.00 degrees
Sites, in units of the cell vectors:
1 B 0.000 0.500 0.000
2 Os 0.000 0.000 0.500
3 Os 0.500 0.000 0.000
4 Ca 0.000 0.000 0.000
5 Pd 0.500 0.500 0.500


Record 7
A geometry-optimized La2BeGaAu6 structure, computed with PBE-GGA.

Properties
Its uncorrected energy is -4.1573 eV/atom. For the formation energy, the calculation gives -511 kJ/mol of formula units. The density of states at the Fermi level comes out at 0.55 states/eV per atom. Its space group is P-1 (2).

Cell lengths 6.478, 7.059, 6.458 Å; angles 62.46, 59.64, 89.03 degrees
Sites, in units of the cell vectors:
1 Ga 0.500 0.500 0.000
2 La 0.771 0.332 0.444
3 La 0.229 0.668 0.556
4 Be 0.000 0.000 0.000
5 Au 0.234 0.203 0.039
6 Au 0.316 0.835 0.932
7 Au 0.766 0.797 0.961
8 Au 0.774 0.820 0.479
9 Au 0.226 0.180 0.521
10 Au 0.684 0.165 0.068


Record 8
A geometry-optimized ZrScP structure, computed with PBE-GGA.

Properties
Its uncorrected energy is -7.7649 eV/atom. For the formation energy, the calculation gives -290 kJ/mol of formula units. The density of states at the Fermi level comes out at 0.82 states/eV per atom. Its space group is Cm (8).

Cell lengths 5.405, 3.557, 11.897 Å; angles 90.00, 90.05, 90.00 degrees
Sites, in units of the cell vectors:
1 Sc 0.399 0.000 0.247
2 Sc 0.146 0.500 0.041
3 Sc 0.399 0.500 0.747
4 Sc 0.146 0.000 0.541
5 Zr 0.655 0.000 0.953
6 Zr 0.898 0.000 0.248
7 Zr 0.898 0.500 0.748
8 Zr 0.655 0.500 0.453
9 P 0.153 0.500 0.381
10 P 0.648 0.500 0.113
11 P 0.153 0.000 0.881
12 P 0.648 0.000 0.613


We obtain size of the total moment values of 0.00, 0.32, 0.00, 0.00, 0.00, 1.02, 0.00, 0.00 Bohr magnetons per cell for the records listed above, in that order.